Entry 1:
## V2As3 (PBE-GGA)

Data for a geometry-optimized V2As3 structure.

a = 5.9430 Å, b = 3.2444 Å, c = 9.3511 Å
α = 90.00°, β = 107.98°, γ = 90.00°
With the nearest neighbours (Å) after each atom.
Space group P2_1/m (No. 11)
Asymmetric unit:
V  0.0986  0.2500  0.1463 x2  6 As 2.44-2.50
V  0.2480  0.2500  0.4962 x2  6 As 2.45-2.58
As  0.0303  0.2500  0.6907 x2  5 V 2.50-2.58
As  0.3051  0.7500  0.0257 x2  3 V 2.44-2.50
As  0.4961  0.7500  0.6712 x2  4 V 2.45-2.50

Computed properties:
V	171	Å³ per cell
Fermi-level density of states	7.69	states/eV/cell
ΔE_f	-277.8	meV/atom
final energy	-6.715	eV/atom


Entry 2:
## TlSbO2 (PBE-GGA)

Data for a geometry-optimized TlSbO2 structure.

a = 5.9366 Å, b = 5.9366 Å, c = 10.2545 Å
α = 90.00°, β = 90.00°, γ = 90.00°
With the nearest neighbours (Å) after each atom.
Space group I-42d (No. 122)
Asymmetric unit:
Tl  0.0000  0.0000  0.0000 x4  4 O 2.86
Sb  0.0000  0.0000  0.5000 x4  4 O 2.15
O  0.1500  0.2500  0.6250 x8  2 Sb 2.15

Computed properties:
V	361	Å³ per cell
E_form (uncorrected)	-0.82	eV/atom
energy above the lowest structure with this stoichiometry	249.6	meV/atom
Fermi-level density of states	0.79	states/eV/cell
final energy	-4.920	eV/atom


Entry 3:
## Tl5Se6 (PBE-GGA)

Data for a geometry-optimized Tl5Se6 structure.

a = 7.1359 Å, b = 15.9600 Å, c = 7.0459 Å
α = 90.00°, β = 114.89°, γ = 90.00°
With the nearest neighbours (Å) after each atom.
Space group C2/m (No. 12)
Asymmetric unit:
Tl  0.0000  0.0000  0.0000 x2  6 Se 3.11-3.40
Tl  0.0000  0.3120  0.0000 x4  6 Se 3.22-3.42, 2 Tl 3.55
Tl  0.0000  0.3414  0.5000 x4  6 Se 3.20-3.46, 2 Tl 3.55
Se  0.0104  0.1554  0.6742 x8  1 Se 2.40
Se  0.0227  0.5000  0.8444 x4  1 Se 2.35

Computed properties:
V	728	Å³ per cell
E_form (uncorrected)	-0.18	eV/atom
Fermi-level density of states	10.16	states/eV/cell
final energy	-3.153	eV/atom